1.
Here is a relaxed structure of BeZnNi14 from Alexandria via LeMat-Bulk. Energies are from PBE.

Computed properties:
Calculated formation energy in eV per atom: -0.049
Fermi-level density of states in states/eV/atom: 1.40

Geometry as CIF:
```
data_BeZnNi14
_symmetry_space_group_name_H-M 'A m m 2'
_symmetry_Int_Tables_number 38
_symmetry_space_group_name_Hall 'A 2 -2'
_cell_length_a 8.1066
_cell_length_b 4.9882
_cell_length_c 8.5711
_cell_angle_alpha 90.00
_cell_angle_beta 90.00
_cell_angle_gamma 90.00
loop_
_atom_site_label
_atom_site_type_symbol
_atom_site_fract_x
_atom_site_fract_y
_atom_site_fract_z
Be1 Be 0.0000 0.0000 0.0000
Zn1 Zn 0.0000 0.0000 0.4978
Ni1 Ni 0.0000 0.2487 0.2480
Ni2 Ni 0.2456 0.0000 0.8315
Ni3 Ni 0.2475 0.2460 0.0798
Ni4 Ni 0.2523 0.0000 0.3292
Ni5 Ni 0.5000 0.0000 0.1622
Ni6 Ni 0.5000 0.0000 0.6625
Ni7 Ni 0.5000 0.2490 0.9127
```

2.
Here is a relaxed structure of MnCdHgTeBr from Alexandria via LeMat-Bulk. Energies are from PBE.

Computed properties:
Fermi-level density of states in states/eV/atom: 0.22
ΔE_f (raw) in meV per atom: -138

Geometry as CIF:
```
data_MnCdHgTeBr
_symmetry_space_group_name_H-M 'P 4 m m'
_symmetry_Int_Tables_number 99
_symmetry_space_group_name_Hall 'P 4 -2'
_cell_length_a 3.8636
_cell_length_b 3.8636
_cell_length_c 9.5297
_cell_angle_alpha 90.00
_cell_angle_beta 90.00
_cell_angle_gamma 90.00
loop_
_atom_site_label
_atom_site_type_symbol
_atom_site_fract_x
_atom_site_fract_y
_atom_site_fract_z
Mn1 Mn 0.0000 0.0000 0.0000
Cd1 Cd 0.0000 0.0000 0.7096
Hg1 Hg 0.0000 0.0000 0.2944
Te1 Te 0.5000 0.5000 0.9732
Br1 Br 0.5000 0.5000 0.5609
```